MgMoBr2 | SCAN | PBEsol geometry

```
data_MgMoBr2
_chemical_formula_sum 'Mg3 Mo3 Br6'
_cell_length_a 3.2448
_cell_length_b 3.2448
_cell_length_c 29.1416
_cell_angle_alpha 90.00
_cell_angle_beta 90.00
_cell_angle_gamma 120.00
_space_group_name_H-M_alt 'R -3 m'
_space_group_IT_number 166
_space_group_name_Hall '-R 3 2"'
loop_
_atom_site_label
_atom_site_type_symbol
_atom_site_fract_x
_atom_site_fract_y
_atom_site_fract_z
Mg1 Mg 0.0000 0.0000 0.0000
Mo1 Mo 0.0000 0.0000 0.5000
Br1 Br 0.0000 0.0000 0.2286
```

Values from the calculation:
* Fermi-level density of states: 1.55 states/eV/f.u.
* DFT total energy: -0.7205 Ha/atom
* uncorrected formation energy: 89 meV per atom